An optimized crystal structure of KBPb, computed with PBE-GGA.

Geometry as POSCAR:
```
KBPb
1.0
3.3121 0.0000 0.0000
0.0000 6.0239 0.0000
0.0000 0.0000 8.2638
K B Pb
2 2 2
Direct
0.2500 0.0000 0.2169
0.7500 0.0000 0.7831
0.0000 0.5000 0.0000
0.5000 0.5000 0.0000
0.2500 0.5000 0.6765
0.7500 0.5000 0.3235
```

Results
DOS(E_F)   1.7 states/eV/f.u.
Energy relative to the elements   0.31 eV/atom
DFT total energy   -21.10 eV for the cell shown
Polymorph energy (0 for the lowest one)   174 meV/atom